Fe2HgTe2: single point on PBEsol structure, meta-GGA SCAN.

Properties
magnetization: 4.8 μB per cell
density of states at the Fermi level: 2.52 states/eV/cell
E: -35.833 eV per atom
raw formation energy: -48 meV/atom

Unit cell a=3.563 b=3.563 c=8.907 alpha=101.54 beta=101.54 gamma=90.00
Site moments in Bohr magnetons follow the coordinates.
Element x y z (fractional)
Te: 0.357 0.357 0.714  -0.11
Te: 0.643 0.643 0.286  -0.11
Hg: 0.000 0.000 0.000  -0.01
Fe: 0.250 0.750 0.500  2.51
Fe: 0.750 0.250 0.500  2.51

FeHgTe: single point on PBEsol structure, meta-GGA SCAN.

Properties
magnetization: 2.0 μB per cell
density of states at the Fermi level: 1.20 states/eV/cell
energy relative to the lowest polymorph listed for this composition: 118.2 meV/atom
E: -40.802 eV per atom
raw formation energy: 380 meV/atom

Unit cell a=3.059 b=3.059 c=6.651 alpha=103.29 beta=103.29 gamma=90.00
Site moments in Bohr magnetons follow the coordinates.
Element x y z (fractional)
Fe: 0.987 0.987 0.974  2.25
Hg: 0.635 0.635 0.269  -0.02
Te: 0.379 0.379 0.757  -0.13

FeHgTe2: single point on PBEsol structure, meta-GGA SCAN.

Properties
magnetization: 2.1 μB per cell
density of states at the Fermi level: 2.11 states/eV/cell
E: -40.051 eV per atom
raw formation energy: 148 meV/atom

Unit cell a=3.277 b=5.140 c=6.495 alpha=111.19 beta=90.00 gamma=108.59
Site moments in Bohr magnetons follow the coordinates.
Element x y z (fractional)
Fe: 0.470 0.941 0.623  2.17
Hg: 0.195 0.389 0.625  -0.02
Te: 0.004 0.008 0.936  -0.02
Te: 0.831 0.662 0.317  -0.03

FeHg2Te: single point on PBEsol structure, meta-GGA SCAN.

Properties
magnetization: 3.6 μB per cell
density of states at the Fermi level: 2.04 states/eV/cell
E: -47.566 eV per atom
raw formation energy: 362 meV/atom

Unit cell a=3.928 b=3.944 c=5.794 alpha=90.00 beta=90.00 gamma=90.00
Site moments in Bohr magnetons follow the coordinates.
Element x y z (fractional)
Fe: 0.000 0.500 0.500  3.20
Hg: 0.000 0.000 0.000  0.04
Hg: 0.500 0.500 0.000  0.04
Te: 0.500 0.000 0.500  0.14

Fe3HgTe: single point on PBEsol structure, meta-GGA SCAN.

Properties
magnetization: 8.1 μB per cell
density of states at the Fermi level: 7.33 states/eV/cell
E: -30.890 eV per atom
raw formation energy: 1071 meV/atom

Unit cell a=4.667 b=4.667 c=4.667 alpha=90.00 beta=90.00 gamma=90.00
Site moments in Bohr magnetons follow the coordinates.
Element x y z (fractional)
Te: 0.000 0.000 0.000  -0.07
Hg: 0.500 0.500 0.500  0.06
Fe: 0.000 0.500 0.000  2.82
Fe: 0.000 0.000 0.500  2.82
Fe: 0.500 0.000 0.000  2.82

Fe2HgTe: single point on PBEsol structure, meta-GGA SCAN.

Properties
magnetization: 5.8 μB per cell
density of states at the Fermi level: 2.25 states/eV/cell
energy relative to the lowest polymorph listed for this composition: 137.0 meV/atom
E: -34.747 eV per atom
raw formation energy: 672 meV/atom

Unit cell a=4.631 b=4.631 c=4.631 alpha=60.00 beta=60.00 gamma=60.00
Site moments in Bohr magnetons follow the coordinates.
Element x y z (fractional)
Fe: 0.000 0.000 0.000  2.91
Fe: 0.750 0.750 0.750  3.03
Hg: 0.500 0.500 0.500  -0.03
Te: 0.250 0.250 0.250  0.04

FeHgTe: single point on PBEsol structure, meta-GGA SCAN.

Properties
magnetization: 2.3 μB per cell
density of states at the Fermi level: 2.18 states/eV/cell
energy relative to the lowest polymorph listed for this composition: 0.0 meV/atom
E: -40.920 eV per atom
raw formation energy: 262 meV/atom

Unit cell a=4.440 b=4.440 c=4.440 alpha=60.00 beta=60.00 gamma=60.00
Site moments in Bohr magnetons follow the coordinates.
Element x y z (fractional)
Fe: 0.250 0.250 0.250  2.39
Hg: 0.000 0.000 0.000  -0.01
Te: 0.500 0.500 0.500  -0.10

FeHg2Te: single point on PBEsol structure, meta-GGA SCAN.

Properties
magnetization: 2.3 μB per cell
density of states at the Fermi level: 2.89 states/eV/cell
E: -47.715 eV per atom
raw formation energy: 213 meV/atom

Unit cell a=3.358 b=3.358 c=8.859 alpha=79.07 beta=79.07 gamma=60.00
Site moments in Bohr magnetons follow the coordinates.
Element x y z (fractional)
Fe: 0.247 0.247 0.259  2.55
Hg: 0.987 0.987 0.039  -0.01
Hg: 0.745 0.745 0.765  -0.01
Te: 0.521 0.521 0.438  -0.11

Q: What is the density of states at the Fermi level in the seventh record?
A: 2.18 states/eV/cell

Q: Which formula does entry 8 have?
A: FeHg2Te

Q: Look up the E of the second one.
A: -40.802 eV per atom

Q: Look up the raw formation energy of the eighth one.
A: 213 meV/atom